# Ac2TbErTe6

A relaxed structure of Ac2TbErTe6 (PBE, Alexandria via LeMat-Bulk).

Summary:
For the total moment, the calculation gives 0.00 μB/f.u. The uncorrected energy comes out at -5.0660 eV/atom. For the formation energy from raw total energies, the calculation gives -1.440 eV/atom. Its density of states at the Fermi level is 0.00 states/eV/f.u.

a = 8.0881 Å, b = 8.0880 Å, c = 8.4317 Å
α = 61.36°, β = 61.35°, γ = 60.01°
Fractional coordinates of all 10 atoms:
Ac 0.5231 0.5233 0.4305
Ac 0.0229 0.0227 0.9316
Tb 0.8214 0.8216 0.5355
Er 0.3220 0.3218 0.0342
Te 0.5892 0.1908 0.2629
Te 0.1908 0.9571 0.2629
Te 0.9572 0.5890 0.2629
Te 0.4539 0.6885 0.7650
Te 0.6886 0.0927 0.7649
Te 0.0925 0.4540 0.7650

=====

# Pr3Nd4Y2

A relaxed structure of Pr3Nd4Y2 (PBE, Alexandria via LeMat-Bulk).

Summary:
For the total moment, the calculation gives 0.00 μB/f.u. The uncorrected energy comes out at -5.1341 eV/atom. Its formation energy is 0.01 eV per atom. Its density of states at the Fermi level is 13.92 states/eV/f.u.

a = 8.2114 Å, b = 8.2091 Å, c = 13.2219 Å
α = 115.55°, β = 93.64°, γ = 143.20°
Fractional coordinates of all 9 atoms:
Pr 0.5539 0.1090 0.6657
Pr 0.0000 0.0000 0.0000
Pr 0.4461 0.8910 0.3343
Nd 0.6666 0.3324 0.9996
Nd 0.3334 0.6676 0.0004
Nd 0.8863 0.7768 0.6659
Nd 0.1137 0.2232 0.3341
Y 0.7781 0.5574 0.3339
Y 0.2219 0.4426 0.6661

=====

# Nd3Cu2Au

A relaxed structure of Nd3Cu2Au (PBE, Alexandria via LeMat-Bulk).

Summary:
For the total moment, the calculation gives 0.00 μB/f.u. The uncorrected energy comes out at -4.6409 eV/atom. Its formation energy is -0.35 eV per atom. Its density of states at the Fermi level is 4.75 states/eV/f.u.

a = 3.6255 Å, b = 5.1707 Å, c = 8.1584 Å
α = 108.48°, β = 90.00°, γ = 90.00°
Fractional coordinates of all 6 atoms:
Nd 0.5000 0.5000 0.0000
Nd 0.5000 0.8299 0.6598
Nd 0.5000 0.1701 0.3402
Cu 0.0000 0.3315 0.6630
Cu 0.0000 0.6685 0.3370
Au 0.0000 0.0000 0.0000

=====

# Fe2NiRh

A relaxed structure of Fe2NiRh (PBE, Alexandria via LeMat-Bulk).

Summary:
For the total moment, the calculation gives 0.00 μB/f.u. The uncorrected energy comes out at -6.9617 eV/atom. Its formation energy is 0.55 eV per atom. Its density of states at the Fermi level is 6.40 states/eV/f.u.

a = 3.4993 Å, b = 3.4993 Å, c = 8.5367 Å
α = 78.17°, β = 78.17°, γ = 90.00°
Fractional coordinates of all 8 atoms:
Ni 0.5000 0.5000 0.0000
Ni 0.2500 0.7500 0.5000
Rh 0.0000 0.0000 0.0000
Rh 0.7500 0.2500 0.5000
Fe 0.5761 0.1250 0.2500
Fe 0.1739 0.6250 0.2500
Fe 0.3750 0.4239 0.7500
Fe 0.8750 0.8261 0.7500

=====

# BeGaCoCu

A relaxed structure of BeGaCoCu (PBE, Alexandria via LeMat-Bulk).

Summary:
For the total moment, the calculation gives 0.00 μB/f.u. The uncorrected energy comes out at -4.6214 eV/atom. Its formation energy is -0.13 eV per atom. Its density of states at the Fermi level is 2.20 states/eV/f.u.

a = 3.9737 Å, b = 3.9737 Å, c = 3.9737 Å
α = 60.00°, β = 60.00°, γ = 60.00°
Fractional coordinates of all 4 atoms:
Be 0.0000 0.0000 0.0000
Co 0.7500 0.7500 0.7500
Cu 0.2500 0.2500 0.2500
Ga 0.5000 0.5000 0.5000

=====

# ZnFe2P

A relaxed structure of ZnFe2P (PBE, Alexandria via LeMat-Bulk).

Summary:
For the total moment, the calculation gives 3.36 μB/f.u. The uncorrected energy comes out at -5.8148 eV/atom. Its formation energy is 0.09 eV per atom. Its density of states at the Fermi level is 4.10 states/eV/f.u.

a = 2.7413 Å, b = 4.6250 Å, c = 4.8462 Å
α = 51.44°, β = 90.00°, γ = 90.00°
Fractional coordinates of all 4 atoms:
Fe 0.0000 0.0000 0.0000
Fe 0.5000 0.5000 0.0000
P 0.5000 0.5000 0.5000
Zn 0.0000 0.0000 0.5000

=====

# CaLaLu2

A relaxed structure of CaLaLu2 (PBE, Alexandria via LeMat-Bulk).

Summary:
For the total moment, the calculation gives 0.00 μB/f.u. The uncorrected energy comes out at -3.8271 eV/atom. Its formation energy is 0.17 eV per atom. Its density of states at the Fermi level is 5.90 states/eV/f.u.

a = 5.7633 Å, b = 5.7633 Å, c = 5.7633 Å
α = 60.00°, β = 60.00°, γ = 60.00°
Fractional coordinates of all 4 atoms:
Ca 0.0000 0.0000 0.0000
Lu 0.2500 0.2500 0.2500
Lu 0.7500 0.7500 0.7500
La 0.5000 0.5000 0.5000

=====

# Cs3In2As2

A relaxed structure of Cs3In2As2 (PBE, Alexandria via LeMat-Bulk).

Summary:
For the total moment, the calculation gives 0.00 μB/f.u. The uncorrected energy comes out at -2.8361 eV/atom. Its formation energy is -0.36 eV per atom. Its density of states at the Fermi level is 2.77 states/eV/f.u.

a = 6.0771 Å, b = 4.4200 Å, c = 11.4253 Å
α = 101.15°, β = 105.42°, γ = 90.00°
Fractional coordinates of all 7 atoms:
Cs 0.0000 0.0000 0.0000
Cs 0.1877 0.6877 0.3753
Cs 0.8123 0.3123 0.6247
In 0.5654 0.5654 0.1308
In 0.4346 0.4346 0.8692
As 0.6359 0.1359 0.2717
As 0.3641 0.8641 0.7283